Crystalline AcY2Er at its relaxed geometry. Source: Alexandria via LeMat-Bulk, functional PBE.

Cell lengths 6.903, 6.903, 6.903 Å; angles 148.33, 64.66, 125.24 degrees
Fractional coordinates of all 4 atoms:
Ac (0.000, 0.000, 0.000)
Y (0.405, 0.649, 0.756)
Y (0.892, 0.649, 0.244)
Er (0.491, 0.991, 0.500)

Computed properties:
* total magnetization: 0.00 μB/cell
* SG: Imm2
* offset from the most stable computed form: 0.000 eV/f.u.
* E_tot: -5.355 eV per atom
* DOS at the Fermi energy: 6.3 states/eV/cell
* density: 6.808 g/cm³


Crystalline ZrAlBr2 at its relaxed geometry. Source: Alexandria via LeMat-Bulk, functional PBE.

Cell lengths 10.322, 10.322, 10.322 Å; angles 18.98, 18.98, 18.98 degrees
Fractional coordinates of all 4 atoms:
Zr (0.000, 0.000, 0.000)
Al (0.500, 0.500, 0.500)
Br (0.398, 0.398, 0.398)
Br (0.602, 0.602, 0.602)

Computed properties:
* total magnetization: 0.00 μB/cell
* SG: R-3m
* offset from the most stable computed form: 0.724 eV/f.u.
* E_tot: -4.445 eV per atom
* formation energy (no corrections): -0.536 eV/atom
* DOS at the Fermi energy: 2.9 states/eV/cell
* density: 4.539 g/cm³


Crystalline CsGaRu3 at its relaxed geometry. Source: Alexandria via LeMat-Bulk, functional PBE.

Cell lengths 4.964, 4.964, 4.964 Å; angles 90.00, 90.00, 90.00 degrees
Fractional coordinates of all 5 atoms:
Cs (0.000, 0.000, 0.000)
Ga (0.500, 0.500, 0.500)
Ru (0.000, 0.000, 0.500)
Ru (0.000, 0.500, 0.000)
Ru (0.500, 0.000, 0.000)

Computed properties:
* total magnetization: 4.18 μB/cell
* SG: Pm-3m
* offset from the most stable computed form: 6.376 eV/f.u.
* E_tot: -3.572 eV per atom
* DOS at the Fermi energy: 8.0 states/eV/cell
* density: 6.865 g/cm³


Crystalline Pu12CuRu6 at its relaxed geometry. Source: Alexandria via LeMat-Bulk, functional PBE.

Cell lengths 8.472, 8.472, 8.472 Å; angles 114.18, 114.18, 114.18 degrees
Fractional coordinates of all 19 atoms:
Pu (0.019, 0.019, 0.360)
Pu (0.019, 0.360, 0.019)
Pu (0.059, 0.355, 0.355)
Pu (0.355, 0.059, 0.355)
Pu (0.355, 0.355, 0.059)
Pu (0.360, 0.019, 0.019)
Pu (0.640, 0.981, 0.981)
Pu (0.645, 0.645, 0.941)
Pu (0.645, 0.941, 0.645)
Pu (0.941, 0.645, 0.645)
Pu (0.981, 0.640, 0.981)
Pu (0.981, 0.981, 0.640)
Cu (0.500, 0.500, 0.500)
Ru (0.223, 0.500, 0.777)
Ru (0.223, 0.777, 0.500)
Ru (0.500, 0.223, 0.777)
Ru (0.500, 0.777, 0.223)
Ru (0.777, 0.223, 0.500)
Ru (0.777, 0.500, 0.223)

Computed properties:
* total magnetization: 0.56 μB/cell
* SG: R-3m
* E_tot: -12.021 eV per atom
* DOS at the Fermi energy: 52.6 states/eV/cell
* density: 16.387 g/cm³


Among the records above, which one has the lowest E_tot?
Pu12CuRu6